Entry 1:
Computed, not measured: a relaxed structure of YReTe2Br at the PBE-GGA level of DFT.

```
data_YReTe2Br
_cell_length_a 5.602
_cell_length_b 5.602
_cell_length_c 5.242
_cell_angle_alpha 90.00
_cell_angle_beta 90.00
_cell_angle_gamma 90.00
_symmetry_space_group_name_H-M 'P 4/m m m'
_symmetry_Int_Tables_number 123
_symmetry_space_group_name_Hall '-P 4 2'
loop_
_atom_site_label
_atom_site_fract_x
_atom_site_fract_y
_atom_site_fract_z
_atom_site_occupancy
Y1 0.000 0.000 0.000 1
Re1 0.500 0.500 0.000 1
Te1 0.000 0.500 0.500 1
Br1 0.000 0.000 0.500 1
```



Entry 2:
Computed, not measured: a relaxed structure of Th8Te4OsPt3 at the PBE-GGA level of DFT.

```
data_Th8Te4OsPt3
_cell_length_a 14.679
_cell_length_b 8.462
_cell_length_c 9.105
_cell_angle_alpha 90.00
_cell_angle_beta 122.51
_cell_angle_gamma 90.00
_symmetry_space_group_name_H-M 'C 1 2/m 1'
_symmetry_Int_Tables_number 12
loop_
_symmetry_equiv_pos_as_xyz
'x,y,z'
'-x,-y,-z'
'-x,y,-z'
'x,-y,z'
'x+1/2,y+1/2,z'
'-x+1/2,-y+1/2,-z'
'-x+1/2,y+1/2,-z'
'x+1/2,-y+1/2,z'
loop_
_atom_site_label
_atom_site_fract_x
_atom_site_fract_y
_atom_site_fract_z
_atom_site_occupancy
Th1 0.012 0.244 0.294 1
Th2 0.231 0.000 0.706 1
Th3 0.236 0.500 0.707 1
Te1 0.000 0.000 0.000 1
Te2 0.000 0.500 0.000 1
Te3 0.250 0.250 0.000 1
Os1 0.000 0.000 0.500 1
Pt1 0.000 0.500 0.500 1
Pt2 0.250 0.250 0.500 1
```



Entry 3:
Computed, not measured: a relaxed structure of Sm2GaSb at the PBE-GGA level of DFT.

```
data_Sm2GaSb
_cell_length_a 4.489
_cell_length_b 23.999
_cell_length_c 4.316
_cell_angle_alpha 90.00
_cell_angle_beta 90.00
_cell_angle_gamma 90.00
_symmetry_space_group_name_H-M 'C m c m'
_symmetry_Int_Tables_number 63
_symmetry_space_group_name_Hall '-C 2c 2'
loop_
_atom_site_label
_atom_site_fract_x
_atom_site_fract_y
_atom_site_fract_z
_atom_site_occupancy
Sm1 0.000 0.061 0.250 1
Sm2 0.000 0.320 0.250 1
Ga1 0.000 0.465 0.250 1
Sb1 0.000 0.189 0.250 1
```

ΔE to the lowest computed polymorph (meV per atom): 0



Asked for formation energy from raw total energies across the records above, the calculation gives 1358, -1102, -853 meV/atom in order.
Asked for ρ across the records above, the calculation gives 6.159, 10.941, 7.031 g/cm3 in order.